Density functional theory data (PBE+U) for crystalline K3NiW2O9 at its relaxed geometry.

Computed properties:
The raw total energy is -6.13 eV/atom. For the density, the calculation gives 5.8 g/cm3. As for the space-group type: P-3m1 (164).

a = 5.6829 Å, b = 5.6829 Å, c = 7.0122 Å
α = 90.00°, β = 90.00°, γ = 120.00°
Sites, in units of the cell vectors:
K 0.0000 0.0000 0.0000
K 0.3333 0.6667 0.6620
K 0.6667 0.3333 0.3380
Ni 0.0000 0.0000 0.5000
W 0.3333 0.6667 0.1778
W 0.6667 0.3333 0.8222
O 0.0000 0.5000 0.0000
O 0.1724 0.3449 0.3212
O 0.1724 0.8276 0.3212
O 0.3449 0.1724 0.6788
O 0.5000 0.0000 0.0000
O 0.5000 0.5000 0.0000
O 0.6551 0.8276 0.3212
O 0.8276 0.1724 0.6788
O 0.8276 0.6551 0.6788